[1]
! LiEuErRu, relaxed, DFT PBE; values from VASP
&SYSTEM
  ibrav = 0, nat = 4, ntyp = 4
/
ATOMIC_SPECIES
Li 6.94 Li.upf
Eu 151.96 Eu.upf
Er 167.26 Er.upf
Ru 101.07 Ru.upf
CELL_PARAMETERS angstrom
0.0000 3.5100 3.5100
3.5100 0.0000 3.5100
3.5100 3.5100 0.0000
ATOMIC_POSITIONS crystal
Li 0.0000 0.0000 0.0000
Eu 0.7500 0.7500 0.7500
Er 0.2500 0.2500 0.2500
Ru 0.5000 0.5000 0.5000
! Total moment   6.89 Bohr magnetons per cell
! Formation enthalpy at 0 K   -0.0826 eV per atom

---

[2]
! LiEuErSi, relaxed, DFT PBE; values from VASP
&SYSTEM
  ibrav = 0, nat = 4, ntyp = 4
/
ATOMIC_SPECIES
Li 6.94 Li.upf
Eu 151.96 Eu.upf
Er 167.26 Er.upf
Si 28.09 Si.upf
CELL_PARAMETERS angstrom
0.0000 3.5912 3.5912
3.5912 0.0000 3.5912
3.5912 3.5912 0.0000
ATOMIC_POSITIONS crystal
Li 0.0000 0.0000 0.0000
Eu 0.2500 0.2500 0.2500
Er 0.7500 0.7500 0.7500
Si 0.5000 0.5000 0.5000
! ΔE_f (raw)   -280 meV per atom
! Total moment   7.40 Bohr magnetons per cell

---

[3]
! LiSmEuEr, relaxed, DFT PBE; values from VASP
&SYSTEM
  ibrav = 0, nat = 4, ntyp = 4
/
ATOMIC_SPECIES
Li 6.94 Li.upf
Sm 150.36 Sm.upf
Eu 151.96 Eu.upf
Er 167.26 Er.upf
CELL_PARAMETERS angstrom
0.0000 3.9866 3.9866
3.9866 0.0000 3.9866
3.9866 3.9866 0.0000
ATOMIC_POSITIONS crystal
Li 0.0000 0.0000 0.0000
Sm 0.2500 0.2500 0.2500
Eu 0.7500 0.7500 0.7500
Er 0.5000 0.5000 0.5000
! Total moment   7.14 Bohr magnetons per cell
! Formation enthalpy at 0 K   0.2006 eV per atom

---

[4]
! LiTbEuEr, relaxed, DFT PBE; values from VASP
&SYSTEM
  ibrav = 0, nat = 4, ntyp = 4
/
ATOMIC_SPECIES
Li 6.94 Li.upf
Tb 158.93 Tb.upf
Eu 151.96 Eu.upf
Er 167.26 Er.upf
CELL_PARAMETERS angstrom
0.0000 3.9651 3.9651
3.9651 0.0000 3.9651
3.9651 3.9651 0.0000
ATOMIC_POSITIONS crystal
Li 0.0000 0.0000 0.0000
Tb 0.2500 0.2500 0.2500
Eu 0.7500 0.7500 0.7500
Er 0.5000 0.5000 0.5000
! Total moment   7.14 Bohr magnetons per cell
! Formation enthalpy at 0 K   0.2078 eV per atom

---

[5]
! LiEuErTl, relaxed, DFT PBE; values from VASP
&SYSTEM
  ibrav = 0, nat = 4, ntyp = 4
/
ATOMIC_SPECIES
Li 6.94 Li.upf
Eu 151.96 Eu.upf
Er 167.26 Er.upf
Tl 204.38 Tl.upf
CELL_PARAMETERS angstrom
0.0000 3.8254 3.8254
3.8254 0.0000 3.8254
3.8254 3.8254 0.0000
ATOMIC_POSITIONS crystal
Li 0.0000 0.0000 0.0000
Eu 0.7500 0.7500 0.7500
Er 0.2500 0.2500 0.2500
Tl 0.5000 0.5000 0.5000
! Total moment   7.20 Bohr magnetons per cell
! Formation enthalpy at 0 K   -0.1659 eV per atom

---

[6]
! LiEuErTm, relaxed, DFT PBE; values from VASP
&SYSTEM
  ibrav = 0, nat = 4, ntyp = 4
/
ATOMIC_SPECIES
Li 6.94 Li.upf
Eu 151.96 Eu.upf
Er 167.26 Er.upf
Tm 168.93 Tm.upf
CELL_PARAMETERS angstrom
0.0000 3.9374 3.9374
3.9374 0.0000 3.9374
3.9374 3.9374 0.0000
ATOMIC_POSITIONS crystal
Li 0.0000 0.0000 0.0000
Eu 0.7500 0.7500 0.7500
Er 0.2500 0.2500 0.2500
Tm 0.5000 0.5000 0.5000
! Total moment   7.16 Bohr magnetons per cell
! Formation enthalpy at 0 K   0.2099 eV per atom

---

[7]
! LiEuErZn, relaxed, DFT PBE; values from VASP
&SYSTEM
  ibrav = 0, nat = 4, ntyp = 4
/
ATOMIC_SPECIES
Li 6.94 Li.upf
Eu 151.96 Eu.upf
Er 167.26 Er.upf
Zn 65.41 Zn.upf
CELL_PARAMETERS angstrom
0.0000 3.6973 3.6973
3.6973 0.0000 3.6973
3.6973 3.6973 0.0000
ATOMIC_POSITIONS crystal
Li 0.0000 0.0000 0.0000
Eu 0.7500 0.7500 0.7500
Er 0.2500 0.2500 0.2500
Zn 0.5000 0.5000 0.5000
! Total moment   7.32 Bohr magnetons per cell
! Formation enthalpy at 0 K   -0.0612 eV per atom

---

[8]
! EuEr2Lu, relaxed, DFT PBE; values from VASP
&SYSTEM
  ibrav = 0, nat = 4, ntyp = 3
/
ATOMIC_SPECIES
Eu 151.96 Eu.upf
Er 167.26 Er.upf
Lu 174.97 Lu.upf
CELL_PARAMETERS angstrom
0.0000 4.0119 4.0119
4.0119 0.0000 4.0119
4.0119 4.0119 0.0000
ATOMIC_POSITIONS crystal
Eu 0.0000 0.0000 0.0000
Er 0.2500 0.2500 0.2500
Er 0.7500 0.7500 0.7500
Lu 0.5000 0.5000 0.5000
! Total moment   8.25 Bohr magnetons per cell
! Formation enthalpy at 0 K   0.1712 eV per atom